# 1
{
  "formula": "Nd4CoGeCl2",
  "functional": "PBE-GGA",
  "state": "optimized geometry",
  "lattice": [[7.398, 0.000, 0.000], [0.000, 4.065, 0.000], [-2.261, 0.000, 7.198]],
  "species": ["Nd", "Nd", "Nd", "Nd", "Co", "Ge", "Cl", "Cl"],
  "fractional_positions": [[0.219, 0.000, 0.207], [0.243, 0.500, 0.785], [0.757, 0.500, 0.215], [0.781, 0.000, 0.793], [0.000, 0.500, 0.000], [0.500, 0.000, 0.000], [0.000, 0.000, 0.500], [0.500, 0.500, 0.500]],
  "n_ef_per_ev_atom": 0.834,
  "magmom_total_mub_per_fu": 0.00,
  "e_form_raw_ev_per_atom": -0.988,
  "sg": "No. 10",
  "dft_energy_ev_per_atom": -5.30
}

# 2
{
  "formula": "CoGeP2Cl",
  "functional": "PBE-GGA",
  "state": "optimized geometry",
  "lattice": [[4.268, 0.000, 0.000], [0.000, 4.268, 0.000], [0.000, 0.000, 5.168]],
  "species": ["Co", "Ge", "P", "P", "Cl"],
  "fractional_positions": [[0.000, 0.000, 0.000], [0.500, 0.500, 0.500], [0.000, 0.500, 0.000], [0.500, 0.000, 0.000], [0.000, 0.000, 0.500]],
  "n_ef_per_ev_atom": 0.922,
  "magmom_total_mub_per_fu": 0.00,
  "e_form_raw_ev_per_atom": 0.412,
  "polymorph_energy_mev_per_atom": 0,
  "sg": "No. 123",
  "dft_energy_ev_per_atom": -4.47
}